Record 1
The following is a GGA-PBE calculation of a relaxed structure of CaTbSm2As4, from Alexandria via LeMat-Bulk.

Cell lengths 4.200, 7.272, 7.301 Å; angles 70.53, 90.00, 90.00 degrees
Fractional positions:
Ca  0.500  0.500  0.000
Tb  0.000  0.500  0.500
Sm  0.000  0.000  0.000
Sm  0.500  0.000  0.500
As  0.000  0.752  0.745
As  0.000  0.248  0.255
As  0.500  0.748  0.254
As  0.500  0.252  0.746

calculated total energy = -5.70 eV per atom
SG = P2/m

---

Record 2
The following is a GGA-PBE calculation of a relaxed structure of ZnSn2Hg, from Alexandria via LeMat-Bulk.

Cell lengths 3.349, 3.349, 10.569 Å; angles 80.88, 80.88, 60.00 degrees
Fractional positions:
Zn  0.500  0.500  0.500
Hg  0.000  0.000  0.000
Sn  0.096  0.096  0.713
Sn  0.904  0.904  0.287

relative energy among the computed polymorphs = 0.000 eV per atom
SG = R-3m

---

Record 3
The following is a GGA-PBE calculation of a relaxed structure of Tb3SmC, from Alexandria via LeMat-Bulk.

Cell lengths 5.088, 5.088, 5.088 Å; angles 90.00, 90.00, 90.00 degrees
Fractional positions:
C  0.000  0.000  0.000
Tb  0.000  0.500  0.000
Tb  0.000  0.000  0.500
Tb  0.500  0.000  0.000
Sm  0.500  0.500  0.500

calculated total energy = -5.56 eV per atom
SG = Pm-3m

---

Record 4
The following is a GGA-PBE calculation of a relaxed structure of Rb2PtI4, from Alexandria via LeMat-Bulk.

Cell lengths 5.776, 5.776, 9.777 Å; angles 72.82, 72.82, 90.00 degrees
Fractional positions:
I  0.848  0.848  0.304
I  0.152  0.152  0.696
I  0.000  0.500  0.000
I  0.500  0.000  0.000
Rb  0.635  0.635  0.730
Rb  0.365  0.365  0.270
Pt  0.000  0.000  0.000

E_form (uncorrected) = -0.8683 eV per atom
SG = I4/mmm

---

Record 5
The following is a GGA-PBE calculation of a relaxed structure of SnBi2Pd, from Alexandria via LeMat-Bulk.

Cell lengths 6.497, 6.497, 8.094 Å; angles 66.34, 66.34, 90.00 degrees
Fractional positions:
Bi  0.582  0.125  0.250
Bi  0.168  0.625  0.250
Bi  0.375  0.418  0.750
Bi  0.875  0.832  0.750
Pd  0.500  0.500  0.000
Pd  0.250  0.750  0.500
Sn  0.000  0.000  0.000
Sn  0.750  0.250  0.500

calculated total energy = -4.18 eV per atom
SG = I-42d

---

Record 6
The following is a GGA-PBE calculation of a relaxed structure of La2Cu2Pd, from Alexandria via LeMat-Bulk.

Cell lengths 4.198, 5.802, 10.540 Å; angles 86.82, 78.51, 68.79 degrees
Fractional positions:
La  0.691  0.259  0.359
La  0.917  0.280  0.886
La  0.309  0.741  0.641
La  0.083  0.720  0.114
Cu  0.050  0.326  0.575
Cu  0.625  0.858  0.893
Cu  0.950  0.674  0.425
Cu  0.375  0.142  0.107
Pd  0.589  0.139  0.684
Pd  0.411  0.861  0.316

relative energy among the computed polymorphs = 0.000 eV per atom
SG = C2/m